8
Lattice="-3.4530 5.4209 -0.9513 -5.4197 -3.1536 1.7019 -4.0251 1.8624 3.0355" Properties=species:S:1:pos:R:3 comment="Ta2SiB | the Alexandria database | PBE | optimized geometry" sg=I-42d e_tot_ev_per_atom=-8.9054 dos_at_fermi_per_ev_cell=4.20 pbc="T T T"
Ta -3.7272 3.2794 0.4086
Si 0.0000 0.0000 0.0000
Si -5.9572 4.2085 1.2297
Ta -4.9399 -0.6477 1.6720
B -6.9405 -0.0788 2.5563
B -4.4363 1.1336 0.3753
Ta -6.5261 2.1423 2.6146
Ta -10.6024 3.4855 2.8768


5
Lattice="-2.9473 -2.2934 -1.4296 2.3700 -4.2719 1.9671 -2.0163 0.4575 3.4228" Properties=species:S:1:pos:R:3 comment="TaSiB2Te | the Alexandria database | PBE | optimized geometry" sg=P4/mmm e_tot_ev_per_atom=-5.5016 dos_at_fermi_per_ev_cell=3.38 pbc="T T T"
B -1.0081 0.2288 1.7114
Si 0.0000 0.0000 0.0000
Te -1.2968 -3.0539 1.9801
Ta 1.1850 -2.1360 0.9836
B -1.4736 -1.1467 -0.7148


5
Lattice="4.8176 0.0000 0.0000 0.0000 4.1908 0.0000 0.0000 0.0000 4.8176" Properties=species:S:1:pos:R:3 comment="TaTi2SiB | the Alexandria database | PBE | optimized geometry" sg=P4/mmm e_tot_ev_per_atom=-6.6460 dos_at_fermi_per_ev_cell=4.60 pbc="T T T"
Ta 0.0000 0.0000 0.0000
Si 2.4088 2.0954 2.4088
Ti 2.4088 0.0000 0.0000
Ti 0.0000 0.0000 2.4088
B 0.0000 2.0954 0.0000


> What is the formula in the second record?

TaSiB2Te